1.
# Er4ZnHg3 (PBE, optimized geometry)
data_Er4ZnHg3
_space_group_name_H-M_alt 'P m m 2'
_space_group_IT_number 25
_cell_length_a 3.776
_cell_length_b 4.690
_cell_length_c 11.373
_cell_angle_alpha 90.00
_cell_angle_beta 90.00
_cell_angle_gamma 90.00
loop_
_space_group_symop_operation_xyz
'x,y,z'
'-x,-y,z'
'-x,y,z'
'x,-y,z'
loop_
_atom_site_label
_atom_site_fract_x
_atom_site_fract_y
_atom_site_fract_z
Er1 0.000 0.000 0.000
Er2 0.000 0.500 0.288
Er3 0.500 0.000 0.487
Er4 0.500 0.500 0.792
Zn1 0.500 0.000 0.223
Hg1 0.000 0.000 0.730
Hg2 0.000 0.500 0.556
Hg3 0.500 0.500 0.064
# - magnetic moment (μB/cell) = 0.00
# - energy above the most stable polymorph in this dataset (meV per atom) = 43
# - formation energy (eV per atom) = -0.4008
# - DOS at the Fermi energy (states/eV per atom) = 0.850
# - total energy (eV/cell) = -23.6

---

2.
# Li3TiBe (PBE, optimized geometry)
data_Li3TiBe
_space_group_name_H-M_alt 'P m -3 m'
_space_group_IT_number 221
_space_group_name_Hall '-P 4 2 3'
_cell_length_a 4.918
_cell_length_b 4.918
_cell_length_c 4.918
_cell_angle_alpha 90.00
_cell_angle_beta 90.00
_cell_angle_gamma 90.00
loop_
_atom_site_label
_atom_site_fract_x
_atom_site_fract_y
_atom_site_fract_z
Li1 0.000 0.000 0.500
Ti1 0.000 0.000 0.000
Be1 0.500 0.500 0.500
# - magnetic moment (μB/cell) = 3.11
# - energy above the most stable polymorph in this dataset (meV per atom) = 723
# - formation energy (eV per atom) = 1.4445
# - DOS at the Fermi energy (states/eV per atom) = 0.759
# - total energy (eV/cell) = -10.1

---

3.
# Sc2Al4Rh (PBE, optimized geometry)
data_Sc2Al4Rh
_space_group_name_H-M_alt 'I 4/m m m'
_space_group_IT_number 139
_space_group_name_Hall '-I 4 2'
_cell_length_a 4.559
_cell_length_b 4.559
_cell_length_c 14.323
_cell_angle_alpha 90.00
_cell_angle_beta 90.00
_cell_angle_gamma 90.00
loop_
_atom_site_label
_atom_site_fract_x
_atom_site_fract_y
_atom_site_fract_z
Sc1 0.000 0.000 0.136
Al1 0.000 0.000 0.329
Al2 0.000 0.500 0.000
Rh1 0.000 0.000 0.500
# - magnetic moment (μB/cell) = 0.00
# - formation energy (eV per atom) = -0.1373
# - DOS at the Fermi energy (states/eV per atom) = 0.488
# - total energy (eV/cell) = -71.9

---

4.
# YErOsAu (PBE, optimized geometry)
data_YErOsAu
_space_group_name_H-M_alt 'F -4 3 m'
_space_group_IT_number 216
_space_group_name_Hall 'F -4 2 3'
_cell_length_a 6.969
_cell_length_b 6.969
_cell_length_c 6.969
_cell_angle_alpha 90.00
_cell_angle_beta 90.00
_cell_angle_gamma 90.00
loop_
_atom_site_label
_atom_site_fract_x
_atom_site_fract_y
_atom_site_fract_z
Y1 0.000 0.000 0.000
Er1 0.000 0.000 0.500
Os1 0.250 0.250 0.250
Au1 0.250 0.250 0.750
# - magnetic moment (μB/cell) = 0.00
# - formation energy (eV per atom) = -0.4901
# - DOS at the Fermi energy (states/eV per atom) = 0.429
# - total energy (eV/cell) = -110.0

---

5.
# Tm8Te4As3N (PBE, optimized geometry)
data_Tm8Te4As3N
_space_group_name_H-M_alt 'R -3 m'
_space_group_IT_number 166
_space_group_name_Hall '-R 3 2"'
_cell_length_a 8.0945
_cell_length_b 8.0945
_cell_length_c 20.7935
_cell_angle_alpha 90.00
_cell_angle_beta 90.00
_cell_angle_gamma 120.00
loop_
_atom_site_label
_atom_site_fract_x
_atom_site_fract_y
_atom_site_fract_z
Tm1 0.0000 0.0000 0.2387
Tm2 0.0283 0.5141 0.2336
Te1 0.0000 0.0000 0.0000
Te2 0.0000 0.5000 0.0000
As1 0.0000 0.5000 0.5000
N1 0.0000 0.0000 0.5000
# - energy relative to the elements, uncorrected (eV per atom) = -1.37
# - magnetic moment (μB/cell) = 0.00
# - DOS at the Fermi energy (states/eV per atom) = 0.353
# - total energy (eV/cell) = -277.5

---

6.
# Mg2TcSe (PBE, optimized geometry)
data_Mg2TcSe
_space_group_name_H-M_alt 'C 1 m 1'
_space_group_IT_number 8
_cell_length_a 10.821
_cell_length_b 3.166
_cell_length_c 4.713
_cell_angle_alpha 90.00
_cell_angle_beta 107.36
_cell_angle_gamma 90.00
loop_
_space_group_symop_operation_xyz
'x,y,z'
'x,-y,z'
'x+1/2,y+1/2,z'
'x+1/2,-y+1/2,z'
loop_
_atom_site_label
_atom_site_fract_x
_atom_site_fract_y
_atom_site_fract_z
Mg1 0.000 0.000 0.000
Mg2 0.197 0.000 0.654
Tc1 0.238 0.500 0.174
Se1 0.411 0.000 0.407
# - energy relative to the elements, uncorrected (eV per atom) = -0.10
# - magnetic moment (μB/cell) = 1.72
# - DOS at the Fermi energy (states/eV per atom) = 0.552
# - total energy (eV/cell) = -34.9

---

Among the records above, which one has the lowest total energy?
Tm8Te4As3N